## SrTcNi2O (PBE+U)

Data for an optimized crystal structure of SrTcNi2O.

abc: 4.666 3.894 4.666
angles: 90.00 90.00 90.00
Last column: magnetic moment on the atom in μB.
Atoms (fractional coordinates):
Ni  0.000  0.000  0.500  0.96
Ni  0.500  0.000  0.000  0.99
O  0.000  0.000  0.000  0.04
Sr  0.500  0.500  0.500  -0.01
Tc  0.000  0.500  0.000  -0.25

Values from the calculation:
E above lowest polymorph   10 meV/atom
SG   P4/mmm, No. 123
VASP energy   -3.982 eV/atom
ρ   6.2 g/cm3